This record from Alexandria describes a geometry-optimized BeCoF5 structure. The functional is PBE with a Hubbard U.

The structure in POSCAR format:
```
BeCoF5
1.0
3.653 -3.710 0.000
3.653 3.710 0.000
-3.578 0.000 6.370
Be Co F
2 2 10
direct
0.119 0.881 0.750
0.881 0.119 0.250
0.000 0.500 0.000
0.500 0.000 0.500
0.148 0.653 0.851
0.172 0.176 0.424
0.176 0.172 0.924
0.333 0.667 0.250
0.347 0.852 0.649
0.653 0.148 0.351
0.667 0.333 0.750
0.824 0.828 0.076
0.828 0.824 0.576
0.852 0.347 0.149
```

Output
Volume: 172.7 Å³ per cell
Space group: C2/c
Total energy: -5.07 eV per atom
Mass density: 3.13 g cm⁻³